1.
MnTe | GGA-PBEsol | optimized geometry

Calculated values
Crystal system: tetragonal
Formation energy without anion corrections, meV per atom: 448
E, eV/atom: -6.1956

abc: 6.8430 6.8430 6.8430
angles: 147.17 147.17 47.11
Closest atoms and distances in Å follow each position.
Fractional positions:
Mn: 0.3750 0.6250 0.7500  4 Te 2.73
Mn: 0.6250 0.3750 0.2500  4 Te 2.73
Te: 0.1250 0.8750 0.2500  4 Mn 2.73
Te: 0.8750 0.1250 0.7500  4 Mn 2.73



2.
Mn5Te | GGA-PBEsol | optimized geometry

Calculated values
Crystal system: orthorhombic
Formation energy without anion corrections, meV per atom: 165
E, eV/atom: -8.5567

abc: 5.5598 5.5598 3.7143
angles: 90.00 90.00 140.75
Closest atoms and distances in Å follow each position.
Fractional positions:
Mn: 0.0000 0.0000 0.0000  4 Te 2.63, 8 Mn 2.66-2.70
Mn: 0.1819 0.8181 0.5000  4 Mn 2.32-2.35
Mn: 0.3144 0.6856 0.0000  4 Mn 2.30-2.32
Mn: 0.6856 0.3144 0.0000  4 Mn 2.30-2.32
Mn: 0.8181 0.1819 0.5000  4 Mn 2.32-2.35
Te: 0.5000 0.5000 0.5000  12 Mn 2.63-2.69



3.
Mn2Te3 | GGA-PBEsol | optimized geometry

Calculated values
Crystal system: trigonal
Formation energy without anion corrections, meV per atom: -56
E, eV/atom: -6.0762

abc: 9.4788 9.4788 9.4788
angles: 23.55 23.55 23.55
Closest atoms and distances in Å follow each position.
Fractional positions:
Mn: 0.1052 0.1052 0.1052  6 Te 2.67-2.81
Mn: 0.8948 0.8948 0.8948  6 Te 2.67-2.81
Te: 0.2810 0.2810 0.2810  3 Mn 2.67
Te: 0.5000 0.5000 0.5000  6 Mn 2.81
Te: 0.7190 0.7190 0.7190  3 Mn 2.67



4.
TiMn3Te | GGA-PBEsol | optimized geometry

Calculated values
Crystal system: cubic
Formation energy without anion corrections, meV per atom: 1071
E, eV/atom: -7.1554

abc: 4.4697 4.4697 4.4697
angles: 90.00 90.00 90.00
Closest atoms and distances in Å follow each position.
Fractional positions:
Ti: 0.0000 0.0000 0.0000  6 Mn 2.23
Mn: 0.0000 0.0000 0.5000  2 Ti 2.23
Mn: 0.0000 0.5000 0.0000  2 Ti 2.23
Mn: 0.5000 0.0000 0.0000  2 Ti 2.23
Te: 0.5000 0.5000 0.5000  12 Mn 3.16



5.
TiMnTe2 | GGA-PBEsol | optimized geometry

Calculated values
Crystal system: tetragonal
Formation energy without anion corrections, meV per atom: 53
E, eV/atom: -6.2308

abc: 7.5029 7.5029 7.5029
angles: 131.08 131.08 71.68
Closest atoms and distances in Å follow each position.
Fractional positions:
Ti: 0.0000 0.0000 0.0000  4 Te 2.69
Ti: 0.7500 0.2500 0.5000  4 Te 2.69
Mn: 0.2500 0.7500 0.5000  4 Te 2.65
Mn: 0.5000 0.5000 0.0000  4 Te 2.65
Te: 0.1307 0.6250 0.0057  2 Mn 2.65, 2 Ti 2.69
Te: 0.3750 0.3807 0.5057  2 Mn 2.65, 2 Ti 2.69
Te: 0.6193 0.1250 0.9943  2 Mn 2.65, 2 Ti 2.69
Te: 0.8750 0.8693 0.4943  2 Mn 2.65, 2 Ti 2.69



6.
Mn2TlTe | GGA-PBEsol | optimized geometry

Calculated values
Crystal system: monoclinic
Formation energy without anion corrections, meV per atom: 518
E, eV/atom: -5.9021

abc: 4.7367 4.7367 3.5183
angles: 95.94 95.94 96.19
Closest atoms and distances in Å follow each position.
Fractional positions:
Mn: 0.0000 0.5000 0.0000  4 Te 2.80-3.09, 4 Tl 2.80-3.09
Mn: 0.5000 0.0000 0.0000  4 Te 2.80-3.09, 4 Tl 2.80-3.09
Tl: 0.0000 0.0000 0.5000  8 Mn 2.80-3.09
Te: 0.5000 0.5000 0.5000  8 Mn 2.80-3.09



7.
Mn2TlTe | GGA-PBEsol | optimized geometry

Calculated values
Crystal system: tetragonal
Formation energy without anion corrections, meV per atom: 484
E, eV/atom: -5.9356

abc: 3.3328 3.3328 6.7410
angles: 90.00 90.00 90.00
Closest atoms and distances in Å follow each position.
Fractional positions:
Mn: 0.0000 0.0000 0.2170  4 Te 2.77, 1 Mn 2.93, 4 Tl 3.03
Mn: 0.0000 0.0000 0.7830  4 Te 2.77, 1 Mn 2.93, 4 Tl 3.03
Tl: 0.5000 0.5000 0.5000  8 Mn 3.03, 4 Tl 3.33, 2 Te 3.37
Te: 0.5000 0.5000 0.0000  8 Mn 2.77



8.
Mn2TlTe | GGA-PBEsol | optimized geometry

Calculated values
Crystal system: tetragonal
Formation energy without anion corrections, meV per atom: 508
E, eV/atom: -5.9115

abc: 5.6770 5.6770 5.6770
angles: 138.73 138.73 59.79
Closest atoms and distances in Å follow each position.
Fractional positions:
Mn: 0.0000 0.0000 0.0000  4 Te 2.83
Mn: 0.7500 0.2500 0.5000  4 Tl 2.83
Tl: 0.2500 0.7500 0.5000  4 Mn 2.83
Te: 0.5000 0.5000 0.0000  4 Mn 2.83



Number 1: spin magnetization 8.83 μB per cell. Number 2: spin magnetization 3.38 μB per cell. Number 3: spin magnetization 7.68 μB per cell. Number 4: spin magnetization 8.20 μB per cell. Number 5: spin magnetization 11.27 μB per cell. Number 6: spin magnetization 7.20 μB per cell. Number 7: spin magnetization 6.61 μB per cell. Number 8: spin magnetization 7.60 μB per cell.